Entry 1:
First-principles (PBE) data for an optimized crystal structure of TmHf5Ru6, as listed in the Alexandria database.

Summary:
- ΔE_f (eV per atom) = -0.770
- total magnetic moment (μB per atom) = 0.00
- total energy (eV per atom) = -9.9278
- DOS(E_F) (states/eV/atom) = 0.23
- crystal system = orthorhombic
- ρ (Mg/m³) = 13.3

a b c (Å): 4.606 13.852 6.520
angles (deg): 90.00 90.00 90.00
Space group Cmmm (No. 65)
One atom of each set of equivalent atoms:
1 Tm 0.000 0.000 0.000 x2
2 Hf 0.000 0.000 0.500 x2
3 Hf 0.000 0.333 0.000 x4
4 Hf 0.000 0.333 0.500 x4
5 Ru 0.000 0.169 0.253 x8
6 Ru 0.000 0.500 0.257 x4



Entry 2:
First-principles (PBE) data for an optimized crystal structure of BaNaMg2Pd, as listed in the Alexandria database.

Summary:
- ΔE_f (eV per atom) = -0.191
- total magnetic moment (μB per atom) = 0.00
- total energy (eV per atom) = -2.5162
- DOS(E_F) (states/eV/atom) = 0.46
- ΔE to the lowest computed polymorph (meV per atom) = 9
- crystal system = tetragonal
- ρ (Mg/m³) = 3.1

a b c (Å): 5.292 5.292 5.983
angles (deg): 90.00 90.00 90.00
Space group P4/mmm (No. 123)
One atom of each set of equivalent atoms:
1 Ba 0.000 0.000 0.000 x1
2 Na 0.500 0.500 0.000 x1
3 Mg 0.000 0.500 0.500 x2
4 Pd 0.000 0.000 0.500 x1



Entry 3:
First-principles (PBE) data for an optimized crystal structure of CaNbCu, as listed in the Alexandria database.

Summary:
- ΔE_f (eV per atom) = 0.232
- total magnetic moment (μB per atom) = 0.00
- total energy (eV per atom) = -5.1571
- DOS(E_F) (states/eV/atom) = 0.59
- ΔE to the lowest computed polymorph (meV per atom) = 79
- crystal system = orthorhombic
- ρ (Mg/m³) = 5.1

a b c (Å): 8.009 3.533 9.083
angles (deg): 90.00 90.00 90.00
Space group Pnma (No. 62)
One atom of each set of equivalent atoms:
1 Ca 0.054 0.250 0.172 x4
2 Nb 0.109 0.250 0.545 x4
3 Cu 0.248 0.250 0.861 x4



Entry 4:
First-principles (PBE) data for an optimized crystal structure of TcRuCl2, as listed in the Alexandria database.

Summary:
- total magnetic moment (μB per atom) = 0.23
- total energy (eV per atom) = -5.5757
- DOS(E_F) (states/eV/atom) = 0.82
- ΔE to the lowest computed polymorph (meV per atom) = 323
- raw formation energy (eV per formula unit) = 1.03
- crystal system = monoclinic
- ρ (Mg/m³) = 5.1

a b c (Å): 13.200 2.934 4.595
angles (deg): 90.00 96.75 90.00
Space group C2/m (No. 12)
One atom of each set of equivalent atoms:
1 Tc 0.000 0.000 0.000 x2
2 Ru 0.000 0.500 0.500 x2
3 Cl 0.136 0.500 0.207 x4



Entry 5:
First-principles (PBE) data for an optimized crystal structure of Ca4AlSn3, as listed in the Alexandria database.

Summary:
- ΔE_f (eV per atom) = -0.560
- total magnetic moment (μB per atom) = 0.00
- total energy (eV per atom) = -3.5297
- DOS(E_F) (states/eV/atom) = 0.20
- crystal system = tetragonal
- ρ (Mg/m³) = 4.0

a b c (Å): 12.168 12.168 6.067
angles (deg): 90.00 90.00 90.00
Space group I4/mcm (No. 140)
One atom of each set of equivalent atoms:
1 Ca 0.083 0.215 0.000 x16
2 Al 0.000 0.500 0.250 x4
3 Sn 0.000 0.000 0.250 x4
4 Sn 0.146 0.354 0.500 x8



Entry 6:
First-principles (PBE) data for an optimized crystal structure of Sr2SbCSe, as listed in the Alexandria database.

Summary:
- total magnetic moment (μB per atom) = 0.32
- total energy (eV per atom) = -3.3642
- DOS(E_F) (states/eV/atom) = 0.57
- raw formation energy (eV per formula unit) = 3.37
- crystal system = tetragonal
- ρ (Mg/m³) = 3.5

a b c (Å): 5.855 5.855 5.364
angles (deg): 90.00 90.00 90.00
Space group P4/mmm (No. 123)
One atom of each set of equivalent atoms:
1 Sr 0.000 0.500 0.000 x2
2 Sb 0.000 0.000 0.500 x1
3 C 0.500 0.500 0.500 x1
4 Se 0.000 0.000 0.000 x1



Entry 7:
First-principles (PBE) data for an optimized crystal structure of AgSe2F, as listed in the Alexandria database.

Summary:
- total magnetic moment (μB per atom) = 0.00
- total energy (eV per atom) = -3.0061
- DOS(E_F) (states/eV/atom) = 0.62
- ΔE to the lowest computed polymorph (meV per atom) = 215
- raw formation energy (eV per formula unit) = -0.33
- crystal system = cubic
- ρ (Mg/m³) = 7.1

a b c (Å): 6.449 6.449 6.449
angles (deg): 90.00 90.00 90.00
Space group Fm-3m (No. 225)
One atom of each set of equivalent atoms:
1 Ag 0.000 0.000 0.000 x4
2 Se 0.250 0.250 0.250 x8
3 F 0.000 0.000 0.500 x4



Entry 8:
First-principles (PBE) data for an optimized crystal structure of LaPmTlRh, as listed in the Alexandria database.

Summary:
- ΔE_f (eV per atom) = -0.534
- total magnetic moment (μB per atom) = 0.00
- total energy (eV per atom) = -5.3828
- DOS(E_F) (states/eV/atom) = 0.92
- ΔE to the lowest computed polymorph (meV per atom) = 0
- crystal system = tetragonal
- ρ (Mg/m³) = 9.2

a b c (Å): 3.547 3.547 8.460
angles (deg): 90.00 90.00 90.00
Space group P4mm (No. 99)
One atom of each set of equivalent atoms:
1 La 0.000 0.000 0.000 x1
2 Pm 0.000 0.000 0.589 x1
3 Tl 0.500 0.500 0.302 x1
4 Rh 0.500 0.500 0.788 x1



Entry 9:
First-principles (PBE) data for an optimized crystal structure of NaCu2Pt2, as listed in the Alexandria database.

Summary:
- ΔE_f (eV per atom) = -0.118
- total magnetic moment (μB per atom) = 0.00
- total energy (eV per atom) = -4.4370
- DOS(E_F) (states/eV/atom) = 1.27
- ΔE to the lowest computed polymorph (meV per atom) = 4
- crystal system = tetragonal
- ρ (Mg/m³) = 11.3

a b c (Å): 7.614 7.614 2.739
angles (deg): 90.00 90.00 90.00
Space group P4/mbm (No. 127)
One atom of each set of equivalent atoms:
1 Na 0.000 0.000 0.000 x2
2 Cu 0.166 0.334 0.500 x4
3 Pt 0.131 0.631 0.000 x4



Entry 10:
First-principles (PBE) data for an optimized crystal structure of BaLiHg2Pb, as listed in the Alexandria database.

Summary:
- ΔE_f (eV per atom) = -0.375
- total magnetic moment (μB per atom) = 0.00
- total energy (eV per atom) = -2.0050
- DOS(E_F) (states/eV/atom) = 0.48
- ΔE to the lowest computed polymorph (meV per atom) = 0
- crystal system = orthorhombic
- ρ (Mg/m³) = 8.5

a b c (Å): 5.993 7.171 6.815
angles (deg): 90.00 90.00 90.00
Space group Pmma (No. 51)
One atom of each set of equivalent atoms:
1 Ba 0.250 0.000 0.225 x2
2 Li 0.000 0.500 0.000 x2
3 Hg 0.250 0.246 0.755 x4
4 Pb 0.250 0.500 0.380 x2



Entry 11:
First-principles (PBE) data for an optimized crystal structure of TiZn2Pd2, as listed in the Alexandria database.

Summary:
- ΔE_f (eV per atom) = -0.344
- total magnetic moment (μB per atom) = 0.00
- total energy (eV per atom) = -4.5094
- DOS(E_F) (states/eV/atom) = 0.90
- ΔE to the lowest computed polymorph (meV per atom) = 47
- crystal system = trigonal
- ρ (Mg/m³) = 7.7

a b c (Å): 4.3268 4.3268 5.2130
angles (deg): 90.00 90.00 120.00
Space group P-3m1 (No. 164)
One atom of each set of equivalent atoms:
1 Ti 0.0000 0.0000 0.0000 x1
2 Zn 0.3333 0.6667 0.6369 x2
3 Pd 0.3333 0.6667 0.1468 x2



Entry 12:
First-principles (PBE) data for an optimized crystal structure of KNa2SiPd, as listed in the Alexandria database.

Summary:
- total magnetic moment (μB per atom) = 0.00
- total energy (eV per atom) = -2.9729
- DOS(E_F) (states/eV/atom) = 0.46
- raw formation energy (eV per formula unit) = -0.51
- crystal system = tetragonal
- ρ (Mg/m³) = 2.5

a b c (Å): 5.560 5.560 4.656
angles (deg): 90.00 90.00 90.00
Space group P4/mmm (No. 123)
One atom of each set of equivalent atoms:
1 K 0.000 0.000 0.000 x1
2 Na 0.000 0.500 0.500 x2
3 Si 0.500 0.500 0.000 x1
4 Pd 0.500 0.500 0.500 x1